Material: ZnH12C6S4N2
Method: DFT, PBE
State: relaxed

Calculated values
- VASP energy: -5.34 eV/atom
- Crystal system: monoclinic
- Calculated volume: 2295.2 Å³/cell

CIF file:
```
data_ZnH12C6S4N2
_chemical_formula_sum 'Zn8 H96 C48 S32 N16'
_cell_length_a 8.289
_cell_length_b 15.655
_cell_length_c 18.139
_cell_angle_alpha 90.00
_cell_angle_beta 102.82
_cell_angle_gamma 90.00
_space_group_name_H-M_alt 'C 1 2/c 1'
_space_group_IT_number 15
_space_group_name_Hall '-C 2yc'
loop_
_atom_site_label
_atom_site_fract_x
_atom_site_fract_y
_atom_site_fract_z
Zn1 0.018 0.106 0.365
H1 0.012 0.402 0.572
H2 0.027 0.279 0.651
H3 0.068 0.392 0.028
H4 0.083 0.187 0.894
H5 0.089 0.473 0.834
H6 0.104 0.415 0.358
H7 0.142 0.154 0.754
H8 0.146 0.347 0.198
H9 0.148 0.374 0.512
H10 0.185 0.288 0.898
H11 0.202 0.321 0.296
H12 0.224 0.016 0.611
C1 0.006 0.217 0.482
C2 0.022 0.366 0.521
C3 0.067 0.256 0.898
C4 0.170 0.470 0.343
C5 0.226 0.012 0.268
C6 0.232 0.361 0.252
S1 0.039 0.111 0.009
S2 0.076 0.248 0.403
S3 0.173 0.015 0.852
S4 0.216 0.117 0.237
N1 0.013 0.276 0.967
N2 0.223 0.451 0.273
```

Material: ZnSi2H48C30N2
Method: DFT, PBE
State: relaxed

Calculated values
- VASP energy: -5.75 eV/atom
- Crystal system: triclinic
- Calculated volume: 732.7 Å³/cell

CIF file:
```
data_ZnSi2H48C30N2
_chemical_formula_sum 'Zn1 Si2 H48 C30 N2'
_cell_length_a 8.595
_cell_length_b 9.355
_cell_length_c 10.658
_cell_angle_alpha 74.70
_cell_angle_beta 73.99
_cell_angle_gamma 64.44
_space_group_name_H-M_alt 'P -1'
_space_group_IT_number 2
_space_group_name_Hall '-P 1'
loop_
_atom_site_label
_atom_site_fract_x
_atom_site_fract_y
_atom_site_fract_z
Zn1 0.000 0.000 0.000
Si1 0.281 0.069 0.783
H1 0.029 0.970 0.323
H2 0.054 0.095 0.409
H3 0.062 0.290 0.656
H4 0.068 0.585 0.778
H5 0.097 0.259 0.946
H6 0.121 0.113 0.235
H7 0.126 0.622 0.604
H8 0.198 0.431 0.120
H9 0.229 0.387 0.353
H10 0.235 0.169 0.545
H11 0.250 0.544 0.901
H12 0.268 0.813 0.488
H13 0.269 0.308 0.610
H14 0.287 0.107 0.006
H15 0.293 0.521 0.701
H16 0.304 0.271 0.882
H17 0.305 0.930 0.573
H18 0.332 0.561 0.423
H19 0.370 0.823 0.025
H20 0.403 0.777 0.257
H21 0.403 0.979 0.309
H22 0.426 0.128 0.169
H23 0.432 0.720 0.588
H24 0.452 0.137 0.325
C1 0.021 0.091 0.318
C2 0.162 0.781 0.699
C3 0.163 0.617 0.696
C4 0.201 0.788 0.829
C5 0.205 0.222 0.634
C6 0.237 0.186 0.917
C7 0.241 0.509 0.151
C8 0.246 0.653 0.922
C9 0.259 0.483 0.281
C10 0.275 0.634 0.056
C11 0.300 0.813 0.580
C12 0.317 0.580 0.321
C13 0.334 0.730 0.097
C14 0.356 0.702 0.228
C15 0.478 0.054 0.259
N1 0.170 0.940 0.852
```

Material: NaZnH2C3O7
Method: DFT, PBE
State: relaxed

Calculated values
- VASP energy: -6.40 eV/atom
- Crystal system: monoclinic
- Calculated volume: 602.9 Å³/cell

CIF file:
```
data_NaZnH2C3O7
_chemical_formula_sum 'Na4 Zn4 H8 C12 O28'
_cell_length_a 5.861
_cell_length_b 15.385
_cell_length_c 6.786
_cell_angle_alpha 90.00
_cell_angle_beta 99.83
_cell_angle_gamma 90.00
_space_group_name_H-M_alt 'P 1 21/c 1'
_space_group_IT_number 14
_space_group_name_Hall '-P 2ybc'
loop_
_atom_site_label
_atom_site_fract_x
_atom_site_fract_y
_atom_site_fract_z
Na1 0.030 0.184 0.186
Zn1 0.238 0.099 0.792
H1 0.330 0.022 0.146
H2 0.458 0.118 0.153
C1 0.006 0.538 0.075
C2 0.293 0.653 0.717
C3 0.447 0.735 0.750
O1 0.078 0.666 0.674
O2 0.100 0.107 0.485
O3 0.120 0.526 0.249
O4 0.315 0.083 0.095
O5 0.343 0.226 0.768
O6 0.355 0.695 0.293
O7 0.397 0.580 0.735
```

Material: Na2ZrH4C6O14
Method: DFT, PBE
State: relaxed

Calculated values
- VASP energy: -6.99 eV/atom
- Crystal system: monoclinic
- Calculated volume: 1191.7 Å³/cell

CIF file:
```
data_Na2ZrH4C6O14
_chemical_formula_sum 'Na8 Zr4 H16 C24 O56'
_cell_length_a 13.430
_cell_length_b 10.150
_cell_length_c 8.780
_cell_angle_alpha 90.00
_cell_angle_beta 95.32
_cell_angle_gamma 90.00
_space_group_name_H-M_alt 'C 1 2/c 1'
_space_group_IT_number 15
_space_group_name_Hall '-C 2yc'
loop_
_atom_site_label
_atom_site_fract_x
_atom_site_fract_y
_atom_site_fract_z
Na1 0.245 0.099 0.417
Zr1 0.000 0.191 0.750
H1 0.083 0.295 0.422
H2 0.141 0.346 0.288
C1 0.053 0.018 0.488
C2 0.107 0.363 0.002
C3 0.173 0.365 0.868
O1 0.029 0.288 0.977
O2 0.090 0.032 0.873
O3 0.097 0.097 0.582
O4 0.130 0.429 0.119
O5 0.132 0.305 0.747
O6 0.150 0.297 0.385
O7 0.245 0.081 0.122
```

Material: NdH12C11O8
Method: DFT, PBE
State: relaxed

Calculated values
- VASP energy: -6.58 eV/atom
- Crystal system: triclinic
- Calculated volume: 593.2 Å³/cell

CIF file:
```
data_NdH12C11O8
_chemical_formula_sum 'Nd2 H24 C22 O16'
_cell_length_a 6.136
_cell_length_b 8.794
_cell_length_c 12.082
_cell_angle_alpha 77.06
_cell_angle_beta 78.32
_cell_angle_gamma 70.53
_space_group_name_H-M_alt 'P 1'
_space_group_IT_number 1
_space_group_name_Hall 'P 1'
loop_
_atom_site_label
_atom_site_fract_x
_atom_site_fract_y
_atom_site_fract_z
Nd1 0.000 0.000 0.000
Nd2 0.218 0.538 0.198
H1 0.031 0.248 0.317
H2 0.043 0.706 0.574
H3 0.132 0.994 0.603
H4 0.164 0.731 0.753
H5 0.193 0.331 0.571
H6 0.194 0.278 0.991
H7 0.363 0.116 0.721
H8 0.397 0.838 0.840
H9 0.398 0.158 0.192
H10 0.400 0.297 0.740
H11 0.405 0.528 0.574
H12 0.408 0.141 0.928
H13 0.449 0.203 0.504
H14 0.476 0.741 0.959
H15 0.554 0.869 0.597
H16 0.587 0.243 0.157
H17 0.613 0.416 0.775
H18 0.666 0.401 0.505
H19 0.768 0.013 0.636
H20 0.775 0.547 0.585
H21 0.802 0.781 0.418
H22 0.812 0.408 0.315
H23 0.817 0.203 0.616
H24 0.941 0.025 0.429
C1 0.045 0.585 0.970
C2 0.045 0.661 0.757
C3 0.131 0.975 0.427
C4 0.156 0.944 0.225
C5 0.235 0.956 0.524
C6 0.269 0.926 0.327
C7 0.385 0.290 0.565
C8 0.394 0.511 0.402
C9 0.457 0.206 0.682
C10 0.475 0.438 0.516
C11 0.475 0.886 0.521
C12 0.511 0.861 0.323
C13 0.614 0.837 0.421
C14 0.671 0.829 0.214
C15 0.693 0.432 0.985
C16 0.719 0.124 0.674
C17 0.737 0.483 0.769
C18 0.806 0.495 0.869
C19 0.820 0.075 0.785
C20 0.825 0.557 0.664
C21 0.962 0.583 0.863
C22 0.976 0.648 0.657
O1 0.041 0.023 0.784
O2 0.065 0.716 0.988
O3 0.098 0.452 0.041
O4 0.181 0.592 0.395
O5 0.224 0.826 0.166
O6 0.239 0.174 0.960
O7 0.417 0.853 0.915
O8 0.442 0.245 0.212
O9 0.537 0.478 0.310
O10 0.546 0.541 0.039
O11 0.653 0.944 0.128
O12 0.685 0.086 0.880
O13 0.740 0.280 0.021
O14 0.827 0.692 0.219
O15 0.985 0.365 0.321
O16 0.998 0.075 0.197
```

Material: NdH6C3O9
Method: DFT, PBE
State: relaxed

Calculated values
- VASP energy: -6.54 eV/atom
- Crystal system: triclinic
- Calculated volume: 365.7 Å³/cell

CIF file:
```
data_NdH6C3O9
_chemical_formula_sum 'Nd2 H12 C6 O18'
_cell_length_a 5.876
_cell_length_b 7.377
_cell_length_c 8.704
_cell_angle_alpha 97.33
_cell_angle_beta 99.68
_cell_angle_gamma 96.08
_space_group_name_H-M_alt 'P -1'
_space_group_IT_number 2
_space_group_name_Hall '-P 1'
loop_
_atom_site_label
_atom_site_fract_x
_atom_site_fract_y
_atom_site_fract_z
Nd1 0.003 0.318 0.289
H1 0.043 0.357 0.882
H2 0.216 0.692 0.216
H3 0.365 0.745 0.018
H4 0.383 0.960 0.289
H5 0.407 0.097 0.796
H6 0.467 0.642 0.875
C1 0.086 0.065 0.968
C2 0.122 0.980 0.485
C3 0.445 0.520 0.573
O1 0.062 0.620 0.212
O2 0.136 0.229 0.038
O3 0.160 0.000 0.848
O4 0.209 0.850 0.544
O5 0.219 0.083 0.402
O6 0.226 0.480 0.556
O7 0.325 0.655 0.920
O8 0.420 0.409 0.301
O9 0.427 0.866 0.210
```